A relaxed structure of CeSn2Ge. Source: the Alexandria database, functional GGA-PBE.

ΔH_f (0 K) ... -0.51 eV/atom
Density of states at the Fermi level ... 0.966 states/eV per atom
Mass density ... 7.717 g/cm3
Total magnetization ... 0.0 Bohr magnetons per cell

Cell: 4.4909 4.4909 4.8031 Å, 90.00 90.00 90.00°
With the nearest neighbours (Å) after each atom.
Element x y z (fractional)
Ce: 0.0000 0.0000 0.0000  4 Ge 3.18, 8 Sn 3.29
Sn: 0.0000 0.5000 0.5000  4 Sn 3.18, 4 Ge 3.29, 4 Ce 3.29
Sn: 0.5000 0.0000 0.5000  4 Sn 3.18, 4 Ge 3.29, 4 Ce 3.29
Ge: 0.5000 0.5000 0.0000  4 Ce 3.18, 8 Sn 3.29

A relaxed structure of Ce8Sn3Ge4. Source: the Alexandria database, functional GGA-PBE.

ΔH_f (0 K) ... -0.45 eV/atom
Density of states at the Fermi level ... 2.175 states/eV per atom
Mass density ... 6.292 g/cm3
Total magnetization ... 4.3 Bohr magnetons per cell

Cell: 8.7009 8.7009 8.6317 Å, 119.67 119.67 90.03°
With the nearest neighbours (Å) after each atom.
Element x y z (fractional)
Ce: 0.2346 0.2346 0.4837  2 Ge 2.98-2.99, 3 Sn 3.08-3.17
Ce: 0.2363 0.2363 0.9862  4 Ge 2.99-3.08, 1 Sn 3.17
Ce: 0.2429 0.7571 0.0000  3 Ge 2.99-3.08, 2 Sn 3.08
Ce: 0.2438 0.7562 0.5000  3 Ge 3.00-3.08, 3 Sn 3.08-3.15
Ce: 0.7562 0.2438 0.5000  3 Ge 3.00-3.08, 3 Sn 3.08-3.15
Ce: 0.7571 0.2429 0.0000  3 Ge 2.99-3.08, 2 Sn 3.08
Ce: 0.7637 0.7637 0.0138  4 Ge 2.99-3.08, 1 Sn 3.17
Ce: 0.7654 0.7654 0.5163  2 Ge 2.98-2.99, 3 Sn 3.08-3.17
Sn: 0.0000 0.5000 0.5000  6 Ce 3.08
Sn: 0.5000 0.0000 0.5000  6 Ce 3.08
Sn: 0.5000 0.5000 0.5000  6 Ce 3.15-3.17
Ge: 0.0000 0.0000 0.0000  6 Ce 2.98-2.99
Ge: 0.0000 0.0000 0.5000  6 Ce 2.99-3.00
Ge: 0.0000 0.5000 0.0000  6 Ce 3.08
Ge: 0.5000 0.0000 0.0000  6 Ce 3.08

A relaxed structure of Ce4SnGe5. Source: the Alexandria database, functional GGA-PBE.

ΔH_f (0 K) ... -0.66 eV/atom
Density of states at the Fermi level ... 1.799 states/eV per atom
Mass density ... 7.100 g/cm3
Total magnetization ... 1.6 Bohr magnetons per cell

Cell: 7.9993 7.9993 7.9993 Å, 150.49 94.86 92.58°
With the nearest neighbours (Å) after each atom.
Element x y z (fractional)
Ce: 0.1926 0.1926 0.0000  6 Ge 2.95-3.12
Ce: 0.2660 0.5000 0.7660  5 Ge 2.88-3.08
Ce: 0.7340 0.5000 0.2340  5 Ge 2.88-3.08
Ce: 0.8074 0.8074 0.0000  6 Ge 2.95-3.12
Sn: 0.5000 0.0000 0.5000  4 Ge 3.07, 4 Ce 3.25
Ge: 0.0000 0.5000 0.5000  6 Ce 2.88-2.95
Ge: 0.1036 0.7952 0.3084  2 Ge 2.60
Ge: 0.4867 0.7952 0.6916  2 Ge 2.60
Ge: 0.5133 0.2048 0.3084  2 Ge 2.60
Ge: 0.8964 0.2048 0.6916  2 Ge 2.60

A relaxed structure of Ce3Sn3Ge2. Source: the Alexandria database, functional GGA-PBE.

ΔH_f (0 K) ... -0.43 eV/atom
Density of states at the Fermi level ... 2.433 states/eV per atom
Mass density ... 7.083 g/cm3
Total magnetization ... 5.5 Bohr magnetons per cell

Cell: 4.7253 4.7253 22.3505 Å, 90.00 90.00 120.00°
With the nearest neighbours (Å) after each atom.
Element x y z (fractional)
Ce: 0.3333 0.6667 0.0740  6 Sn 3.19-3.31, 3 Ge 3.40
Ce: 0.3333 0.6667 0.2500  6 Ge 3.33, 6 Sn 3.42
Ce: 0.3333 0.6667 0.4260  6 Sn 3.19-3.31, 3 Ge 3.40
Ce: 0.6667 0.3333 0.5740  6 Sn 3.19-3.31, 3 Ge 3.40
Ce: 0.6667 0.3333 0.7500  6 Ge 3.33, 6 Sn 3.42
Ce: 0.6667 0.3333 0.9260  6 Sn 3.19-3.31, 3 Ge 3.40
Sn: 0.0000 0.0000 0.0000  6 Ce 3.19
Sn: 0.0000 0.0000 0.5000  6 Ce 3.19
Sn: 0.3333 0.6667 0.6578  3 Ge 2.73
Sn: 0.3333 0.6667 0.8422  3 Ge 2.73
Sn: 0.6667 0.3333 0.1578  3 Ge 2.73
Sn: 0.6667 0.3333 0.3422  3 Ge 2.73
Ge: 0.0000 0.0000 0.1648  3 Sn 2.73
Ge: 0.0000 0.0000 0.3352  3 Sn 2.73
Ge: 0.0000 0.0000 0.6648  3 Sn 2.73
Ge: 0.0000 0.0000 0.8352  3 Sn 2.73

A relaxed structure of CeSnGe2. Source: the Alexandria database, functional GGA-PBE.

ΔH_f (0 K) ... -0.52 eV/atom
Density of states at the Fermi level ... 0.897 states/eV per atom
Mass density ... 7.575 g/cm3
Total magnetization ... 0.0 Bohr magnetons per cell

Cell: 4.5674 4.5674 4.2465 Å, 90.00 90.00 90.00°
With the nearest neighbours (Å) after each atom.
Element x y z (fractional)
Ce: 0.0000 0.0000 0.0000  8 Ge 3.12, 4 Sn 3.23
Sn: 0.5000 0.5000 0.0000  8 Ge 3.12, 4 Ce 3.23
Ge: 0.0000 0.5000 0.5000  4 Sn 3.12, 4 Ce 3.12, 4 Ge 3.23
Ge: 0.5000 0.0000 0.5000  4 Sn 3.12, 4 Ce 3.12, 4 Ge 3.23

A relaxed structure of Ce5SnGe4. Source: the Alexandria database, functional GGA-PBE.

ΔH_f (0 K) ... -0.33 eV/atom
Density of states at the Fermi level ... 2.141 states/eV per atom
Mass density ... 6.920 g/cm3
Total magnetization ... 7.6 Bohr magnetons per cell

Cell: 8.0388 8.1939 8.0861 Å, 90.00 90.00 90.00°
With the nearest neighbours (Å) after each atom.
Element x y z (fractional)
Ce: 0.0104 0.0673 0.2276  4 Ge 2.95-3.16, 1 Ce 2.99
Ce: 0.0104 0.4327 0.2276  4 Ge 2.95-3.16, 1 Ce 2.99
Ce: 0.2500 0.2500 0.5665  4 Ge 2.91-3.08
Ce: 0.4896 0.0673 0.2276  4 Ge 2.95-3.16, 1 Ce 2.99
Ce: 0.4896 0.4327 0.2276  4 Ge 2.95-3.16, 1 Ce 2.99
Ce: 0.5104 0.5673 0.7724  4 Ge 2.95-3.16, 1 Ce 2.99
Ce: 0.5104 0.9327 0.7724  4 Ge 2.95-3.16, 1 Ce 2.99
Ce: 0.7500 0.7500 0.4335  4 Ge 2.91-3.08
Ce: 0.9896 0.5673 0.7724  4 Ge 2.95-3.16, 1 Ce 2.99
Ce: 0.9896 0.9327 0.7724  4 Ge 2.95-3.16, 1 Ce 2.99
Sn: 0.2500 0.7500 0.0553  2 Ge 2.75
Sn: 0.7500 0.2500 0.9447  2 Ge 2.75
Ge: 0.0903 0.2500 0.9126  1 Ge 2.57, 1 Sn 2.75
Ge: 0.2500 0.5962 0.4891  1 Ge 2.52
Ge: 0.2500 0.9038 0.4891  1 Ge 2.52
Ge: 0.4097 0.2500 0.9126  1 Ge 2.57, 1 Sn 2.75
Ge: 0.5903 0.7500 0.0874  1 Ge 2.57, 1 Sn 2.75
Ge: 0.7500 0.0962 0.5109  1 Ge 2.52
Ge: 0.7500 0.4038 0.5109  1 Ge 2.52
Ge: 0.9097 0.7500 0.0874  1 Ge 2.57, 1 Sn 2.75

A relaxed structure of CeSn2Ge. Source: the Alexandria database, functional GGA-PBE.

ΔH_f (0 K) ... 0.22 eV/atom
Density of states at the Fermi level ... 1.526 states/eV per atom
Mass density ... 6.951 g/cm3
Total magnetization ... 0.9 Bohr magnetons per cell

Cell: 11.5351 11.5351 11.5351 Å, 16.47 16.47 16.47°
With the nearest neighbours (Å) after each atom.
Element x y z (fractional)
Ce: 0.0000 0.0000 0.0000  2 Sn 3.23, 6 Ce 3.30
Sn: 0.0946 0.0946 0.0946  3 Ge 3.11, 1 Ce 3.23, 6 Sn 3.30
Sn: 0.9054 0.9054 0.9054  3 Ge 3.11, 1 Ce 3.23, 6 Sn 3.30
Ge: 0.5000 0.5000 0.5000  6 Sn 3.11, 6 Ge 3.30

A relaxed structure of Ce6SnGe. Source: the Alexandria database, functional GGA-PBE.

ΔH_f (0 K) ... -0.41 eV/atom
Density of states at the Fermi level ... 2.741 states/eV per atom
Mass density ... 8.275 g/cm3
Total magnetization ... 5.0 Bohr magnetons per cell

Cell: 4.7000 4.7000 9.3751 Å, 90.00 90.00 90.00°
With the nearest neighbours (Å) after each atom.
Element x y z (fractional)
Ce: 0.0000 0.0000 0.0000  8 Ce 3.24, 4 Ge 3.32
Ce: 0.0000 0.0000 0.5000  4 Sn 3.32, 8 Ce 3.40
Ce: 0.0000 0.5000 0.2384  2 Ge 3.24, 8 Ce 3.24-3.40, 2 Sn 3.40
Ce: 0.0000 0.5000 0.7616  2 Ge 3.24, 8 Ce 3.24-3.40, 2 Sn 3.40
Ce: 0.5000 0.0000 0.2384  2 Ge 3.24, 8 Ce 3.24-3.40, 2 Sn 3.40
Ce: 0.5000 0.0000 0.7616  2 Ge 3.24, 8 Ce 3.24-3.40, 2 Sn 3.40
Sn: 0.5000 0.5000 0.5000  12 Ce 3.32-3.40
Ge: 0.5000 0.5000 0.0000  12 Ce 3.24-3.32